(1)
Entry from the Alexandria database: Li2IrSe at its PBEsol-relaxed geometry (SCAN).

a b c (Å): 3.7047 3.7047 3.9022
angles (deg): 90.00 90.00 90.00
Closest atoms and distances in Å follow each position.
Positions (direct):
Li  0.0000  0.5000  0.0000  4 Li 2.62, 4 Se 2.69, 4 Ir 2.69
Li  0.5000  0.0000  0.0000  4 Li 2.62, 4 Se 2.69, 4 Ir 2.69
Ir  0.0000  0.0000  0.5000  4 Se 2.62, 8 Li 2.69
Se  0.5000  0.5000  0.5000  4 Ir 2.62, 8 Li 2.69

Output
Crystal system   tetragonal
Space group   P4/mmm (123)
Formation energy without anion corrections   -36.3 kJ/mol of atoms
DFT total energy   -97.46 eV per cell



(2)
Entry from the Alexandria database: Li2IrSe at its PBEsol-relaxed geometry (SCAN).

a b c (Å): 3.8507 3.8507 7.1331
angles (deg): 90.00 90.00 90.00
Closest atoms and distances in Å follow each position.
Positions (direct):
Li  0.0000  0.0000  0.0000  4 Li 2.62, 4 Ir 2.62, 4 Se 2.72
Li  0.0000  0.5000  0.2500  4 Se 2.62, 4 Li 2.62, 4 Ir 2.72
Li  0.5000  0.0000  0.7500  4 Li 2.62, 4 Se 2.62, 4 Ir 2.72
Li  0.5000  0.5000  0.5000  4 Li 2.62, 4 Ir 2.62, 4 Se 2.72
Ir  0.0000  0.5000  0.7500  8 Li 2.62-2.72, 4 Se 2.62
Ir  0.5000  0.0000  0.2500  4 Se 2.62, 8 Li 2.62-2.72
Se  0.0000  0.0000  0.5000  8 Li 2.62-2.72, 4 Ir 2.62
Se  0.5000  0.5000  0.0000  8 Li 2.62-2.72, 4 Ir 2.62

Output
Crystal system   tetragonal
Space group   I-4m2 (119)
Formation energy without anion corrections   -30.4 kJ/mol of atoms
DFT total energy   -194.43 eV per cell



(3)
Entry from the Alexandria database: Li2IrSe at its PBEsol-relaxed geometry (SCAN).

a b c (Å): 5.0381 7.9915 2.7681
angles (deg): 90.00 90.00 90.00
Closest atoms and distances in Å follow each position.
Positions (direct):
Li  0.2500  0.2500  0.0000  4 Li 2.52-2.77, 4 Se 2.74, 4 Ir 2.74
Li  0.2500  0.7500  0.0000  4 Li 2.52-2.77, 4 Se 2.74, 4 Ir 2.74
Li  0.7500  0.2500  0.0000  4 Li 2.52-2.77, 4 Se 2.74, 4 Ir 2.74
Li  0.7500  0.7500  0.0000  4 Li 2.52-2.77, 4 Ir 2.74, 4 Se 2.74
Ir  0.0000  0.0000  0.5000  2 Se 2.52, 8 Li 2.74, 2 Ir 2.77
Ir  0.5000  0.5000  0.5000  2 Se 2.52, 8 Li 2.74, 2 Ir 2.77
Se  0.0000  0.5000  0.5000  2 Ir 2.52, 8 Li 2.74, 2 Se 2.77
Se  0.5000  0.0000  0.5000  2 Ir 2.52, 8 Li 2.74, 2 Se 2.77

Output
Crystal system   orthorhombic
Space group   Cmmm (65)
Formation energy without anion corrections   -34.0 kJ/mol of atoms
DFT total energy   -194.73 eV per cell



(4)
Entry from the Alexandria database: Li2IrSe at its PBEsol-relaxed geometry (SCAN).

a b c (Å): 7.1580 4.1685 4.7991
angles (deg): 90.00 119.98 90.00
Closest atoms and distances in Å follow each position.
Positions (direct):
Li  0.0000  0.0000  0.0000  4 Se 2.71-2.81, 4 Li 2.73-2.84, 3 Ir 2.75-2.76
Li  0.2287  0.0000  0.6824  4 Ir 2.68-2.82, 4 Li 2.73-2.84, 3 Se 2.75-2.78
Li  0.5000  0.5000  0.0000  4 Se 2.71-2.81, 4 Li 2.73-2.84, 3 Ir 2.75-2.76
Li  0.7287  0.5000  0.6824  4 Ir 2.68-2.82, 4 Li 2.73-2.84, 3 Se 2.75-2.78
Ir  0.4439  0.0000  0.3278  3 Se 2.40, 1 Li 2.68
Ir  0.9439  0.5000  0.3278  3 Se 2.40, 1 Li 2.68
Se  0.2855  0.5000  0.3482  3 Ir 2.40
Se  0.7855  0.0000  0.3482  3 Ir 2.40

Output
Crystal system   monoclinic
Space group   Cm (8)
Formation energy without anion corrections   -41.7 kJ/mol of atoms
DFT total energy   -195.37 eV per cell



(5)
Entry from the Alexandria database: Li2SiIr at its PBEsol-relaxed geometry (SCAN).

a b c (Å): 2.8516 3.9906 8.8324
angles (deg): 90.00 90.00 90.00
Closest atoms and distances in Å follow each position.
Positions (direct):
Li  0.0000  0.0000  0.2499  4 Li 2.45, 2 Ir 2.63, 2 Si 2.63
Li  0.0000  0.0000  0.7501  4 Li 2.45, 2 Ir 2.63, 2 Si 2.63
Li  0.5000  0.5000  0.2501  4 Li 2.45, 2 Ir 2.63, 2 Si 2.63
Li  0.5000  0.5000  0.7499  4 Li 2.45, 2 Ir 2.63, 2 Si 2.63
Si  0.0000  0.5000  0.0000  4 Ir 2.45, 4 Li 2.63
Si  0.5000  0.0000  0.5000  4 Ir 2.45, 4 Li 2.63
Ir  0.0000  0.5000  0.5000  4 Si 2.45, 4 Li 2.63
Ir  0.5000  0.0000  0.0000  4 Si 2.45, 4 Li 2.63

Output
Crystal system   orthorhombic
Space group   Immm (71)
Formation energy without anion corrections   -46.6 kJ/mol of atoms
DFT total energy   -175.66 eV per cell



(6)
Entry from the Alexandria database: Li2SiIr at its PBEsol-relaxed geometry (SCAN).

a b c (Å): 8.4561 2.9221 4.5358
angles (deg): 90.00 110.20 90.00
Closest atoms and distances in Å follow each position.
Positions (direct):
Li  0.0000  0.0000  0.0000  3 Li 2.33-2.52, 2 Si 2.56
Li  0.2422  0.0000  0.8642  3 Li 2.33-2.52
Li  0.5000  0.5000  0.0000  3 Li 2.33-2.52, 2 Si 2.56
Li  0.7422  0.5000  0.8642  3 Li 2.33-2.52
Si  0.4888  0.0000  0.4552  3 Ir 2.36-2.41, 2 Li 2.56
Si  0.9888  0.5000  0.4552  3 Ir 2.36-2.41, 2 Li 2.56
Ir  0.2610  0.5000  0.3939  3 Si 2.36-2.41, 2 Li 2.64
Ir  0.7610  0.0000  0.3939  3 Si 2.36-2.41, 2 Li 2.64

Output
Crystal system   monoclinic
Space group   Cm (8)
Formation energy without anion corrections   -49.5 kJ/mol of atoms
DFT total energy   -175.89 eV per cell



(7)
Entry from the Alexandria database: LiSi2Ir at its PBEsol-relaxed geometry (SCAN).

a b c (Å): 3.6493 3.6493 16.5115
angles (deg): 90.00 90.00 90.00
Closest atoms and distances in Å follow each position.
Positions (direct):
Li  0.0000  0.0000  0.0000  4 Si 2.41, 4 Ir 2.58
Li  0.0000  0.5000  0.2500  4 Si 2.41, 4 Ir 2.58
Li  0.5000  0.0000  0.7500  4 Si 2.41, 4 Ir 2.58
Li  0.5000  0.5000  0.5000  4 Si 2.41, 4 Ir 2.58
Si  0.2299  0.2500  0.1250  2 Li 2.41, 2 Ir 2.46, 4 Si 2.48-2.69
Si  0.2500  0.7299  0.3750  2 Li 2.41, 2 Ir 2.46, 4 Si 2.48-2.69
Si  0.2500  0.7701  0.8750  2 Li 2.41, 2 Ir 2.46, 4 Si 2.48-2.69
Si  0.2701  0.2500  0.6250  2 Li 2.41, 2 Ir 2.46, 4 Si 2.48-2.69
Si  0.7299  0.7500  0.6250  2 Li 2.41, 2 Ir 2.46, 4 Si 2.48-2.69
Si  0.7500  0.2299  0.8750  2 Li 2.41, 2 Ir 2.46, 4 Si 2.48-2.69
Si  0.7500  0.2701  0.3750  2 Li 2.41, 2 Ir 2.46, 4 Si 2.48-2.69
Si  0.7701  0.7500  0.1250  2 Li 2.41, 2 Ir 2.46, 4 Si 2.48-2.69
Ir  0.0000  0.0000  0.5000  4 Si 2.46, 4 Li 2.58
Ir  0.0000  0.5000  0.7500  4 Si 2.46, 4 Li 2.58
Ir  0.5000  0.0000  0.2500  4 Si 2.46, 4 Li 2.58
Ir  0.5000  0.5000  0.0000  4 Si 2.46, 4 Li 2.58

Output
Crystal system   tetragonal
Space group   I-42d (122)
Energy relative to the lowest polymorph listed for this composition   0.533 eV/atom
Formation energy without anion corrections   -1.2 kJ/mol of atoms
DFT total energy   -374.28 eV per cell



(8)
Entry from the Alexandria database: LiSi2Ir at its PBEsol-relaxed geometry (SCAN).

a b c (Å): 2.8852 3.5024 5.0151
angles (deg): 90.00 90.00 90.00
Closest atoms and distances in Å follow each position.
Positions (direct):
Li  0.0000  0.0000  0.0000  6 Si 2.49-2.53, 4 Ir 2.66
Si  0.0000  0.0000  0.5036  2 Li 2.49-2.53, 4 Ir 2.52, 4 Si 2.67
Si  0.5000  0.5000  0.2240  2 Ir 2.50-2.52, 4 Li 2.53, 4 Si 2.67
Ir  0.5000  0.5000  0.7224  6 Si 2.50-2.52, 4 Li 2.66

Output
Crystal system   orthorhombic
Space group   Pmm2 (25)
Energy relative to the lowest polymorph listed for this composition   0.236 eV/atom
Formation energy without anion corrections   -29.8 kJ/mol of atoms
DFT total energy   -94.76 eV per cell



(9)
Entry from the Alexandria database: Li2SiIr at its PBEsol-relaxed geometry (SCAN).

a b c (Å): 2.8968 4.6906 8.7174
angles (deg): 90.00 90.00 90.00
Closest atoms and distances in Å follow each position.
Positions (direct):
Li  0.0000  0.0000  0.0000  2 Ir 2.57, 4 Li 2.76
Li  0.0000  0.5000  0.3024  2 Si 2.53, 4 Li 2.76
Li  0.5000  0.0000  0.3024  2 Si 2.53, 4 Li 2.76
Li  0.5000  0.5000  0.0000  2 Ir 2.57, 4 Li 2.76
Si  0.0000  0.0000  0.5404  2 Ir 2.38, 2 Li 2.53
Si  0.5000  0.5000  0.5404  2 Ir 2.38, 2 Li 2.53
Ir  0.0000  0.5000  0.7564  2 Si 2.38, 2 Li 2.57
Ir  0.5000  0.0000  0.7564  2 Si 2.38, 2 Li 2.57

Output
Crystal system   orthorhombic
Space group   Cmm2 (35)
Formation energy without anion corrections   -12.5 kJ/mol of atoms
DFT total energy   -172.83 eV per cell



(10)
Entry from the Alexandria database: LiSi2Ir at its PBEsol-relaxed geometry (SCAN).

a b c (Å): 5.8687 5.8687 5.8687
angles (deg): 90.00 90.00 90.00
Closest atoms and distances in Å follow each position.
Positions (direct):
Li  0.0000  0.0000  0.0000  8 Si 2.54
Li  0.0000  0.5000  0.5000  8 Si 2.54
Li  0.5000  0.0000  0.5000  8 Si 2.54
Li  0.5000  0.5000  0.0000  8 Si 2.54
Si  0.2500  0.2500  0.2500  4 Li 2.54, 4 Ir 2.54
Si  0.2500  0.2500  0.7500  4 Li 2.54, 4 Ir 2.54
Si  0.2500  0.7500  0.2500  4 Li 2.54, 4 Ir 2.54
Si  0.2500  0.7500  0.7500  4 Li 2.54, 4 Ir 2.54
Si  0.7500  0.2500  0.2500  4 Li 2.54, 4 Ir 2.54
Si  0.7500  0.2500  0.7500  4 Li 2.54, 4 Ir 2.54
Si  0.7500  0.7500  0.2500  4 Li 2.54, 4 Ir 2.54
Si  0.7500  0.7500  0.7500  4 Ir 2.54, 4 Li 2.54
Ir  0.0000  0.0000  0.5000  8 Si 2.54
Ir  0.0000  0.5000  0.0000  8 Si 2.54
Ir  0.5000  0.0000  0.0000  8 Si 2.54
Ir  0.5000  0.5000  0.5000  8 Si 2.54

Output
Crystal system   cubic
Space group   Fm-3m (225)
Energy relative to the lowest polymorph listed for this composition   0.000 eV/atom
Formation energy without anion corrections   -52.6 kJ/mol of atoms
DFT total energy   -382.81 eV per cell



(11)
Entry from the Alexandria database: Li2SiIr at its PBEsol-relaxed geometry (SCAN).

a b c (Å): 3.4886 3.4886 8.3930
angles (deg): 90.00 90.00 90.00
Closest atoms and distances in Å follow each position.
Positions (direct):
Li  0.0000  0.5000  0.2500  4 Li 2.47, 4 Ir 2.73, 4 Si 2.73
Li  0.0000  0.5000  0.7500  4 Li 2.47, 4 Ir 2.73, 4 Si 2.73
Li  0.5000  0.0000  0.2500  4 Li 2.47, 4 Ir 2.73, 4 Si 2.73
Li  0.5000  0.0000  0.7500  4 Li 2.47, 4 Ir 2.73, 4 Si 2.73
Si  0.0000  0.0000  0.0000  4 Ir 2.47, 8 Li 2.73
Si  0.5000  0.5000  0.5000  4 Ir 2.47, 8 Li 2.73
Ir  0.0000  0.0000  0.5000  4 Si 2.47, 8 Li 2.73
Ir  0.5000  0.5000  0.0000  4 Si 2.47, 8 Li 2.73

Output
Crystal system   tetragonal
Space group   I4/mmm (139)
Formation energy without anion corrections   -37.9 kJ/mol of atoms
DFT total energy   -174.93 eV per cell



(12)
Entry from the Alexandria database: Li3SnIr at its PBEsol-relaxed geometry (SCAN).

a b c (Å): 4.5495 4.5495 4.5495
angles (deg): 90.00 90.00 90.00
Closest atoms and distances in Å follow each position.
Positions (direct):
Li  0.0000  0.0000  0.5000  2 Ir 2.27
Li  0.0000  0.5000  0.0000  2 Ir 2.27
Li  0.5000  0.0000  0.0000  2 Ir 2.27
Sn  0.5000  0.5000  0.5000  12 Li 3.22
Ir  0.0000  0.0000  0.0000  6 Li 2.27

Output
Crystal system   cubic
Space group   Pm-3m (221)
ΔH_f (0 K)   348 meV/atom
DFT total energy   -112.45 eV per cell